The following is a PBE-GGA calculation of InAgBr3 after structural relaxation, from Alexandria via LeMat-Bulk.

Results
- energy relative to the elements, uncorrected (eV/f.u.) = -1.21

Lattice parameters (Å, degrees): 5.540 5.540 5.540 90.00 90.00 90.00
Space group Pm-3m (No. 221)
Symmetry-distinct sites (fractional):
In  0.000  0.000  0.000 [1 per cell]
Ag  0.500  0.500  0.500 [1 per cell]
Br  0.000  0.000  0.500 [3 per cell]